The following is a PBE-GGA calculation of a geometry-optimized LaCdTe structure, from OQMD.

Cell and atoms, written as POSCAR:
```
LaCdTe
1.0
0.000 3.752 3.752
3.752 0.000 3.752
3.752 3.752 0.000
La Cd Te
1 1 1
Direct
0.000 0.000 0.000
0.250 0.250 0.250
0.750 0.750 0.750
```

Summary:
Symmetry   F-43m

The following is a PBE-GGA calculation of a geometry-optimized LaCdTe structure, from OQMD.

Cell and atoms, written as POSCAR:
```
LaCdTe
1.0
4.753 -2.316 -0.386
3.160 -0.290 4.247
0.868 -4.675 2.343
La Te Cd
1 1 1
Direct
0.000 0.000 0.000
0.250 0.250 0.250
0.500 0.500 0.500
```

Summary:
Symmetry   F-43m

no.,total energy (eV/atom),offset from the most stable computed form (kJ per mole of atoms)
1,-3.6060,0.0
2,-3.5324,7.1